Record 1
Entry from OQMD: PmYIr after structural relaxation (PBE-GGA).

* total magnetic moment: 0.000 μB/f.u.
* energy above the lowest structure with this stoichiometry: 0.000 eV per atom
* E_form: 0.57 eV/f.u.

Unit cell a=6.7097 b=6.7097 c=6.7097 alpha=90.00 beta=90.00 gamma=90.00
Space group F-43m (No. 216)
Unique sites:
Pm1 0.0000 0.0000 0.0000 [4 per cell]
Y1 0.2500 0.2500 0.7500 [4 per cell]
Ir1 0.0000 0.0000 0.5000 [4 per cell]


Record 2
Entry from OQMD: Nd2DySn3PdPt2 after structural relaxation (PBE-GGA).

* total magnetic moment: 0.004 μB/f.u.
* total DFT energy (no corrections): -105.269 eV/cell

Unit cell a=4.0918 b=13.1540 c=7.6269 alpha=90.00 beta=90.00 gamma=90.00
Space group Amm2 (No. 38)
Unique sites:
Nd1 0.0000 0.2055 0.0000 [4 per cell]
Dy1 0.0000 0.0000 0.6153 [2 per cell]
Sn1 0.5000 0.0000 0.9511 [2 per cell]
Sn2 0.5000 0.1262 0.3345 [4 per cell]
Pd1 0.0000 0.0000 0.2105 [2 per cell]
Pt1 0.5000 0.1623 0.7037 [4 per cell]


Record 3
Entry from OQMD: CoAsPtW after structural relaxation (PBE-GGA).

* total magnetic moment: 0.345 μB/f.u.
* energy above the lowest structure with this stoichiometry: 0.000 eV per atom

Unit cell a=6.1497 b=6.1497 c=6.1497 alpha=90.00 beta=90.00 gamma=90.00
Space group F-43m (No. 216)
Unique sites:
Co1 0.0000 0.0000 0.0000 [4 per cell]
As1 0.2500 0.2500 0.7500 [4 per cell]
Pt1 0.2500 0.2500 0.2500 [4 per cell]
W1 0.0000 0.0000 0.5000 [4 per cell]


Record 4
Entry from OQMD: YSnAuS3 after structural relaxation (PBE-GGA).

* total magnetic moment: 0.002 μB/f.u.
* energy above the lowest structure with this stoichiometry: 0.135 eV per atom

Unit cell a=17.4935 b=3.8900 c=8.2261 alpha=90.00 beta=103.27 gamma=90.00
Space group C2/m (No. 12)
Unique sites:
Y1 0.1636 0.0000 0.0902 [4 per cell]
Sn1 0.1311 0.0000 0.5792 [4 per cell]
Au1 0.0411 0.5000 0.2236 [4 per cell]
S1 0.0000 0.0000 0.0000 [2 per cell]
S2 0.0000 0.5000 0.5000 [2 per cell]
S3 0.1735 0.5000 0.8558 [4 per cell]
S4 0.1881 0.5000 0.3330 [4 per cell]


Record 5
Entry from OQMD: InAgO2 after structural relaxation (PBE-GGA).

* total DFT energy (no corrections): -75.542 eV/cell

Unit cell a=5.2380 b=5.2380 c=9.6317 alpha=90.00 beta=90.00 gamma=90.00
Space group I-42d (No. 122)
Unique sites:
In1 0.0000 0.0000 0.0000 [4 per cell]
Ag1 0.0000 0.0000 0.5000 [4 per cell]
O1 0.2046 0.7500 0.1250 [8 per cell]


Record 6
Entry from OQMD: SiAg2O3 after structural relaxation (PBE-GGA).

* total DFT energy (no corrections): -137.373 eV/cell

Unit cell a=4.5621 b=7.0750 c=9.9997 alpha=90.00 beta=90.00 gamma=90.00
Space group P2_12_12_1 (No. 19)
Unique sites:
Si1 0.0516 0.1408 0.0634 [4 per cell]
Ag1 0.0222 0.5940 0.7786 [4 per cell]
Ag2 0.1003 0.6333 0.1171 [4 per cell]
O1 0.0883 0.4346 0.4631 [4 per cell]
O2 0.1972 0.8114 0.4480 [4 per cell]
O3 0.2048 0.1535 0.2116 [4 per cell]


Record 7
Entry from OQMD: NpGaSn2 after structural relaxation (PBE-GGA).

* total magnetic moment: 3.919 μB/f.u.
* total DFT energy (no corrections): -24.638 eV/cell

Unit cell a=4.4922 b=4.4922 c=4.6026 alpha=90.00 beta=90.00 gamma=90.00
Space group P4/mmm (No. 123)
Unique sites:
Np1 0.0000 0.0000 0.0000 [1 per cell]
Ga1 0.5000 0.5000 0.0000 [1 per cell]
Sn1 0.0000 0.5000 0.5000 [2 per cell]


Record 8
Entry from OQMD: NaNp2S6 after structural relaxation (PBE-GGA).

* total magnetic moment: 5.919 μB/f.u.
* total DFT energy (no corrections): -123.056 eV/cell

Unit cell a=3.8644 b=5.0923 c=19.5949 alpha=90.00 beta=90.00 gamma=90.00
Space group Immm (No. 71)
Unique sites:
Na1 0.0000 0.0000 0.0000 [2 per cell]
Np1 0.0000 0.5000 0.1771 [4 per cell]
S1 0.0000 0.0000 0.2248 [4 per cell]
S2 0.0000 0.2532 0.3996 [8 per cell]


Record 9
Entry from OQMD: CsPbAuSe3 after structural relaxation (PBE-GGA).

* total DFT energy (no corrections): -83.195 eV/cell

Unit cell a=4.4479 b=14.7056 c=11.7617 alpha=90.00 beta=90.00 gamma=90.00
Space group Cmcm (No. 63)
Unique sites:
Cs1 0.0000 0.2200 0.2500 [4 per cell]
Pb1 0.0000 0.5000 0.0000 [4 per cell]
Au1 0.0000 0.0821 0.7500 [4 per cell]
Se1 0.0000 0.1343 0.5446 [8 per cell]
Se2 0.0000 0.4894 0.7500 [4 per cell]


Record 10
Entry from OQMD: Ta3TlSn5 after structural relaxation (PBE-GGA).

* total magnetic moment: 0.001 μB/f.u.
* total DFT energy (no corrections): -56.966 eV/cell

Unit cell a=5.8073 b=5.8073 c=7.5569 alpha=90.00 beta=90.00 gamma=120.00
Space group P6/mmm (No. 191)
Unique sites:
Ta1 0.0000 0.5000 0.0000 [3 per cell]
Tl1 0.0000 0.0000 0.5000 [1 per cell]
Sn1 0.0000 0.0000 0.0000 [1 per cell]
Sn2 0.3333 0.6667 0.3108 [4 per cell]


Record 11
Entry from OQMD: Sc3AuO after structural relaxation (PBE-GGA).

* total magnetic moment: 0.001 μB/f.u.
* total DFT energy (no corrections): -141.756 eV/cell

Unit cell a=10.8136 b=6.1415 c=6.1412 alpha=90.00 beta=124.60 gamma=90.00
Space group C2/c (No. 15)
Unique sites:
Sc1 0.0000 0.2452 0.2500 [4 per cell]
Sc2 0.2479 0.4489 0.7990 [8 per cell]
Au1 0.0000 0.2491 0.7500 [4 per cell]
O1 0.2500 0.2500 0.5000 [4 per cell]


Record 12
Entry from OQMD: LuCu after structural relaxation (PBE-GGA).

* total magnetic moment: 0.009 μB/f.u.
* E_form: -0.12 eV/f.u.

Unit cell a=4.1477 b=4.1477 c=5.7716 alpha=90.00 beta=90.00 gamma=120.00
Space group P6_3/mmc (No. 194)
Unique sites:
Lu1 0.3333 0.6667 0.2500 [2 per cell]
Cu1 0.0000 0.0000 0.0000 [2 per cell]


Record 13
Entry from OQMD: Tb2PmCd2 after structural relaxation (PBE-GGA).

* total magnetic moment: 0.337 μB/f.u.
* E_form: -1.33 eV/f.u.

Unit cell a=3.7455 b=5.4163 c=13.9330 alpha=90.00 beta=97.72 gamma=90.00
Space group P2_1/m (No. 11)
Unique sites:
Tb1 0.0456 0.2500 0.0923 [2 per cell]
Tb2 0.2368 0.2500 0.4727 [2 per cell]
Pm1 0.1466 0.7500 0.2963 [2 per cell]
Cd1 0.3593 0.7500 0.7173 [2 per cell]
Cd2 0.4513 0.2500 0.9017 [2 per cell]


Record 14
Entry from OQMD: RbYTc after structural relaxation (PBE-GGA).

* total magnetic moment: 1.026 μB/f.u.
* energy above the lowest structure with this stoichiometry: 0.000 eV per atom

Unit cell a=7.2032 b=7.2032 c=7.2032 alpha=90.00 beta=90.00 gamma=90.00
Space group F-43m (No. 216)
Unique sites:
Rb1 0.0000 0.0000 0.0000 [4 per cell]
Y1 0.0000 0.0000 0.5000 [4 per cell]
Tc1 0.2500 0.2500 0.2500 [4 per cell]


Record 15
Entry from OQMD: PrHoPt after structural relaxation (PBE-GGA).

* total magnetic moment: 0.008 μB/f.u.
* energy above the lowest structure with this stoichiometry: 0.000 eV per atom
* E_form: -2.67 eV/f.u.

Unit cell a=7.2881 b=4.8487 c=8.8811 alpha=90.00 beta=90.00 gamma=90.00
Space group Pnma (No. 62)
Unique sites:
Pr1 0.0096 0.2500 0.1741 [4 per cell]
Ho1 0.1428 0.2500 0.5805 [4 per cell]
Pt1 0.2458 0.7500 0.4111 [4 per cell]


Record 16
Entry from OQMD: LaNdSi2Mo2C after structural relaxation (PBE-GGA).

* total magnetic moment: 0.007 μB/f.u.
* total DFT energy (no corrections): -110.147 eV/cell

Unit cell a=11.3263 b=3.9569 c=7.4164 alpha=90.00 beta=126.22 gamma=90.00
Space group Cm (No. 8)
Unique sites:
La1 0.0000 0.0000 0.0000 [2 per cell]
Nd1 0.1534 0.0000 0.6033 [2 per cell]
Si1 0.2124 0.5000 0.9801 [2 per cell]
Si2 0.4420 0.0000 0.6247 [2 per cell]
Mo1 0.2825 0.5000 0.3826 [2 per cell]
Mo2 0.3731 0.0000 0.2249 [2 per cell]
C1 0.0786 0.5000 0.3071 [2 per cell]


Record 17
Entry from OQMD: TbGdIn4Cu2 after structural relaxation (PBE-GGA).

* total magnetic moment: 0.011 μB/f.u.
* total DFT energy (no corrections): -60.752 eV/cell

Unit cell a=7.3447 b=4.4195 c=10.7784 alpha=90.00 beta=90.00 gamma=90.00
Space group Amm2 (No. 38)
Unique sites:
Tb1 0.0000 0.0000 0.0000 [2 per cell]
Gd1 0.5000 0.0000 0.8595 [2 per cell]
In1 0.2016 0.0000 0.2917 [4 per cell]
In2 0.2979 0.0000 0.5675 [4 per cell]
Cu1 0.0000 0.0000 0.7178 [2 per cell]
Cu2 0.5000 0.0000 0.1419 [2 per cell]


Record 18
Entry from OQMD: NaErNiTe3 after structural relaxation (PBE-GGA).

* total magnetic moment: 0.004 μB/f.u.
* energy above the lowest structure with this stoichiometry: 0.053 eV per atom

Unit cell a=12.1054 b=4.2333 c=12.2778 alpha=90.00 beta=90.00 gamma=90.00
Space group Pnma (No. 62)
Unique sites:
Na1 0.2116 0.2500 0.0108 [4 per cell]
Er1 0.0415 0.2500 0.3021 [4 per cell]
Ni1 0.2362 0.7500 0.2159 [4 per cell]
Te1 0.0520 0.7500 0.1246 [4 per cell]
Te2 0.0983 0.2500 0.5759 [4 per cell]
Te3 0.2022 0.7500 0.8058 [4 per cell]


Record 19
Entry from OQMD: GdAgSnS3 after structural relaxation (PBE-GGA).

* total magnetic moment: 0.011 μB/f.u.
* energy above the lowest structure with this stoichiometry: 0.037 eV per atom

Unit cell a=10.5371 b=4.0652 c=13.0594 alpha=90.00 beta=90.00 gamma=90.00
Space group Pnma (No. 62)
Unique sites:
Gd1 0.0215 0.2500 0.2346 [4 per cell]
Ag1 0.2335 0.2500 0.7186 [4 per cell]
Sn1 0.1974 0.7500 0.4889 [4 per cell]
S1 0.0333 0.2500 0.6126 [4 per cell]
S2 0.0776 0.7500 0.1060 [4 per cell]
S3 0.2383 0.7500 0.8423 [4 per cell]


Record 20
Entry from OQMD: SrPAu after structural relaxation (PBE-GGA).

* total DFT energy (no corrections): -26.206 eV/cell

Unit cell a=4.3744 b=4.3744 c=8.5431 alpha=90.00 beta=90.00 gamma=120.00
Space group P6_3/mmc (No. 194)
Unique sites:
Sr1 0.0000 0.0000 0.0000 [2 per cell]
P1 0.3333 0.6667 0.2500 [2 per cell]
Au1 0.3333 0.6667 0.7500 [2 per cell]